<A>
! VPt3F | Alexandria via LeMat-Bulk | GGA+U | relaxed; values from VASP
! space group	Pm-3m, No. 221
! total magnetic moment	1.37	μB/f.u.
&SYSTEM
  ibrav = 0, nat = 5, ntyp = 3
/
ATOMIC_SPECIES
V 50.94 V.upf
Pt 195.08 Pt.upf
F 19.00 F.upf
ATOMIC_POSITIONS crystal
V 0.000 0.000 0.000
Pt 0.000 0.500 0.000
Pt 0.000 0.000 0.500
Pt 0.500 0.000 0.000
F 0.500 0.500 0.500
CELL_PARAMETERS angstrom
-1.015 1.193 -4.400
0.457 -4.458 -1.315
-4.536 -0.716 0.852

=====

<B>
! VPt3F | Alexandria via LeMat-Bulk | GGA+U | relaxed; values from VASP
! space group	Pm-3m, No. 221
! total magnetic moment	2.25	μB/f.u.
&SYSTEM
  ibrav = 0, nat = 5, ntyp = 3
/
ATOMIC_SPECIES
V 50.94 V.upf
Pt 195.08 Pt.upf
F 19.00 F.upf
ATOMIC_POSITIONS crystal
V 0.500 0.500 0.500
Pt 0.000 0.500 0.000
Pt 0.000 0.000 0.500
Pt 0.500 0.000 0.000
F 0.000 0.000 0.000
CELL_PARAMETERS angstrom
-1.567 -4.089 -0.267
2.104 -1.048 3.704
-3.516 1.195 2.335

=====

Least stable structure among those shown: <A>.